# BaNi9P5, PBEsol geometry, DFT SCAN
# * crystal system: hexagonal
# * M_tot: 0.00 Bohr magnetons per cell
# * DFT formation energy: -1005 kJ/mol of formula units
# * volume: 386.3 Å³/cell
# * energy: -16.5013 eV per atom
data_BaNi9P5
_cell_length_a 6.4344
_cell_length_b 6.4344
_cell_length_c 10.7748
_cell_angle_alpha 90.00
_cell_angle_beta 90.00
_cell_angle_gamma 120.00
_space_group_name_H-M_alt 'P 63/m m c'
_space_group_IT_number 194
_space_group_name_Hall '-P 6c 2c'
loop_
_atom_site_label
_atom_site_type_symbol
_atom_site_fract_x
_atom_site_fract_y
_atom_site_fract_z
Ba1 Ba 0.0000 0.0000 0.0000
Ni1 Ni 0.0718 0.5359 0.1070
Ni2 Ni 0.2038 0.4077 0.7500
P1 P 0.1759 0.3518 0.2500
P2 P 0.3333 0.6667 0.5620